! Sr3Ag2Sn2 PBE optimized geometry; values from VASP
&SYSTEM
  ibrav = 0, nat = 28, ntyp = 3
/
ATOMIC_SPECIES
Sr 87.62 Sr.upf
Ag 107.87 Ag.upf
Sn 118.71 Sn.upf
ATOMIC_POSITIONS crystal
Sr 0.135 0.107 0.104
Sr 0.135 0.107 0.396
Sr 0.135 0.393 0.604
Sr 0.135 0.393 0.896
Sr 0.348 0.745 0.250
Sr 0.348 0.755 0.750
Sr 0.652 0.245 0.250
Sr 0.652 0.255 0.750
Sr 0.865 0.607 0.104
Sr 0.865 0.607 0.396
Sr 0.865 0.893 0.604
Sr 0.865 0.893 0.896
Ag 0.385 0.042 0.589
Ag 0.385 0.042 0.911
Ag 0.385 0.458 0.089
Ag 0.385 0.458 0.411
Ag 0.615 0.542 0.589
Ag 0.615 0.542 0.911
Ag 0.615 0.958 0.089
Ag 0.615 0.958 0.411
Sn 0.158 0.106 0.750
Sn 0.158 0.394 0.250
Sn 0.329 0.750 0.000
Sn 0.329 0.750 0.500
Sn 0.671 0.250 0.000
Sn 0.671 0.250 0.500
Sn 0.842 0.606 0.750
Sn 0.842 0.894 0.250
CELL_PARAMETERS angstrom
6.238 0.000 0.000
0.000 9.080 0.000
0.000 0.000 15.030
! Formation energy from the elements ... -520 meV/atom
! V ... 30.41 Å³/atom
! Total magnetization ... 0.0 μB per cell
! Final energy ... -3.199 eV per atom
! Crystal system ... orthorhombic